The following is a PBE-GGA calculation of crystalline Nd3GaPt8 at its relaxed geometry, from Alexandria.

Results
As for the total energy: -76.9 eV for the cell shown. The symmetry is R3m.

a b c (Å): 5.498 5.498 9.488
angles (deg): 73.16 73.16 60.00
Atoms (fractional coordinates):
Nd 0.379 0.379 0.863
Nd 0.989 0.989 0.033
Nd 0.510 0.510 0.471
Ga 0.853 0.853 0.441
Pt 0.944 0.439 0.178
Pt 0.435 0.941 0.683
Pt 0.439 0.439 0.178
Pt 0.941 0.941 0.683
Pt 0.191 0.191 0.427
Pt 0.690 0.690 0.931
Pt 0.439 0.944 0.178
Pt 0.941 0.435 0.683

=====

The following is a PBE-GGA calculation of crystalline PrHo2Ti at its relaxed geometry, from Alexandria.

Results
As for the total energy: -20.1 eV for the cell shown. The symmetry is R-3m.

a b c (Å): 3.379 3.379 12.008
angles (deg): 81.91 81.91 60.00
Each line ends with the local moment (μB).
Atoms (fractional coordinates):
Pr 0.500 0.500 0.500  0.00
Ho 0.082 0.082 0.753  0.12
Ho 0.918 0.918 0.247  0.12
Ti 0.000 0.000 0.000  1.32

=====

The following is a PBE-GGA calculation of crystalline ZnSbOs2 at its relaxed geometry, from Alexandria.

Results
Its raw formation energy is 822 meV per atom. The symmetry is Cmmm.

a b c (Å): 2.902 2.902 8.980
angles (deg): 90.00 90.00 118.70
Atoms (fractional coordinates):
Os 0.000 0.000 0.988
Os 0.000 0.000 0.512
Sb 0.500 0.500 0.250
Zn 0.500 0.500 0.750

=====

The following is a PBE-GGA calculation of crystalline NaSn2H at its relaxed geometry, from Alexandria.

Results
As for the total energy: -10.8 eV for the cell shown. The symmetry is Fm-3m.

a b c (Å): 4.930 4.930 4.930
angles (deg): 60.00 60.00 60.00
Atoms (fractional coordinates):
Na 0.500 0.500 0.500
Sn 0.250 0.250 0.250
Sn 0.750 0.750 0.750
H 0.000 0.000 0.000

=====

The following is a PBE-GGA calculation of crystalline KBe2Cd at its relaxed geometry, from Alexandria.

Results
As for the total energy: -6.5 eV for the cell shown. The symmetry is Cmmm.

a b c (Å): 3.435 3.435 7.489
angles (deg): 90.00 90.00 84.64
Atoms (fractional coordinates):
Be 0.000 0.000 0.102
Be 0.000 0.000 0.398
K 0.500 0.500 0.750
Cd 0.500 0.500 0.250

=====

The following is a PBE-GGA calculation of crystalline Zn2RuRh at its relaxed geometry, from Alexandria.

Results
As for the total energy: -19.5 eV for the cell shown. The symmetry is Cm.

a b c (Å): 4.716 4.716 4.558
angles (deg): 79.67 79.67 34.33
Atoms (fractional coordinates):
Rh 0.504 0.504 0.498
Ru 0.246 0.246 0.251
Zn 0.996 0.996 0.001
Zn 0.753 0.753 0.749

=====

The following is a PBE-GGA calculation of crystalline TbPmSm5 at its relaxed geometry, from Alexandria.

Results
As for the total energy: -26.8 eV for the cell shown. The symmetry is Imm2.

a b c (Å): 6.247 8.011 7.769
angles (deg): 121.04 113.71 90.00
Atoms (fractional coordinates):
Tb 0.697 0.500 0.000
Pm 0.931 0.000 0.000
Sm 0.187 0.252 0.504
Sm 0.167 0.500 0.000
Sm 0.683 0.748 0.496
Sm 0.433 0.820 0.000
Sm 0.433 0.180 0.000

=====

The following is a PBE-GGA calculation of crystalline AcLaDy2Ho at its relaxed geometry, from Alexandria.

Results
As for the total energy: -45.2 eV for the cell shown. The symmetry is P2_1/m.

a b c (Å): 5.889 6.412 9.857
angles (deg): 71.04 90.00 90.00
Atoms (fractional coordinates):
Ac 0.750 0.570 0.196
Ac 0.250 0.430 0.804
La 0.750 0.360 0.598
La 0.250 0.640 0.402
Dy 0.750 0.776 0.797
Dy 0.250 0.224 0.203
Dy 0.250 0.033 0.598
Dy 0.750 0.967 0.402
Ho 0.250 0.837 0.997
Ho 0.750 0.163 0.003

=====

The following is a PBE-GGA calculation of crystalline Pr23Cd4Ir7 at its relaxed geometry, from Alexandria.

Results
As for the total energy: -381.7 eV for the cell shown. The symmetry is P6_3mc.

a b c (Å): 10.116 10.116 22.789
angles (deg): 90.00 90.00 120.00
Atoms (fractional coordinates):
Pr 0.206 0.412 0.720
Pr 0.206 0.794 0.720
Pr 0.794 0.588 0.220
Pr 0.588 0.794 0.720
Pr 0.794 0.206 0.220
Pr 0.412 0.206 0.220
Pr 0.793 0.586 0.947
Pr 0.793 0.207 0.947
Pr 0.207 0.414 0.447
Pr 0.414 0.207 0.947
Pr 0.207 0.793 0.447
Pr 0.586 0.793 0.447
Pr 0.207 0.415 0.990
Pr 0.207 0.793 0.990
Pr 0.793 0.585 0.490
Pr 0.585 0.793 0.990
Pr 0.793 0.207 0.490
Pr 0.415 0.207 0.490
Pr 0.873 0.745 0.636
Pr 0.873 0.127 0.636
Pr 0.127 0.255 0.136
Pr 0.255 0.127 0.636
Pr 0.127 0.873 0.136
Pr 0.745 0.873 0.136
Pr 0.460 0.920 0.855
Pr 0.460 0.540 0.855
Pr 0.540 0.080 0.355
Pr 0.080 0.540 0.855
Pr 0.540 0.460 0.355
Pr 0.920 0.460 0.355
Pr 0.000 0.000 0.997
Pr 0.000 0.000 0.497
Pr 0.461 0.921 0.586
Pr 0.461 0.539 0.586
Pr 0.539 0.079 0.086
Pr 0.079 0.539 0.586
Pr 0.539 0.461 0.086
Pr 0.921 0.461 0.086
Pr 0.798 0.596 0.783
Pr 0.798 0.202 0.783
Pr 0.202 0.404 0.283
Pr 0.404 0.202 0.783
Pr 0.202 0.798 0.283
Pr 0.596 0.798 0.283
Pr 0.667 0.333 0.646
Pr 0.333 0.667 0.146
Cd 0.000 0.000 0.749
Cd 0.000 0.000 0.249
Cd 0.107 0.213 0.863
Cd 0.107 0.893 0.863
Cd 0.893 0.787 0.363
Cd 0.787 0.893 0.863
Cd 0.893 0.107 0.363
Cd 0.213 0.107 0.363
Ir 0.521 0.041 0.711
Ir 0.521 0.479 0.711
Ir 0.479 0.959 0.211
Ir 0.959 0.479 0.711
Ir 0.479 0.521 0.211
Ir 0.041 0.521 0.211
Ir 0.667 0.333 0.864
Ir 0.333 0.667 0.364
Ir 0.143 0.287 0.563
Ir 0.143 0.857 0.563
Ir 0.857 0.713 0.063
Ir 0.713 0.857 0.563
Ir 0.857 0.143 0.063
Ir 0.287 0.143 0.063

=====

The following is a PBE-GGA calculation of crystalline PmErBiTe at its relaxed geometry, from Alexandria.

Results
Its raw formation energy is -1091 meV per atom. The symmetry is P4mm.

a b c (Å): 4.463 4.465 6.287
angles (deg): 90.04 90.00 90.00
Atoms (fractional coordinates):
Pm 0.500 0.391 0.093
Er 0.000 0.892 0.592
Bi 0.000 0.891 0.092
Te 0.500 0.392 0.593

=====

The following is a PBE-GGA calculation of crystalline Ac2MgGa3Cu4 at its relaxed geometry, from Alexandria.

Results
As for the total energy: -38.7 eV for the cell shown. The symmetry is P-4m2.

a b c (Å): 4.446 4.446 10.272
angles (deg): 90.00 90.00 90.00
Atoms (fractional coordinates):
Ac 0.500 0.000 0.236
Ac 0.000 0.500 0.764
Mg 0.500 0.500 0.500
Ga 0.000 0.000 0.500
Ga 0.500 0.000 0.879
Ga 0.000 0.500 0.121
Cu 0.500 0.500 0.000
Cu 0.000 0.000 0.000
Cu 0.500 0.000 0.635
Cu 0.000 0.500 0.365

=====

The following is a PBE-GGA calculation of crystalline Cs3Sn at its relaxed geometry, from Alexandria.

Results
As for the total energy: -6.6 eV for the cell shown. The symmetry is Fm-3m.

a b c (Å): 6.821 6.821 6.821
angles (deg): 60.00 60.00 60.00
Each line ends with the local moment (μB).
Atoms (fractional coordinates):
Cs 0.000 0.000 0.000  0.01
Cs 0.750 0.750 0.750  0.02
Cs 0.250 0.250 0.250  0.02
Sn 0.500 0.500 0.500  0.29

=====

The following is a PBE-GGA calculation of crystalline Ac2GePd3 at its relaxed geometry, from Alexandria.

Results
As for the total energy: -33.5 eV for the cell shown. The symmetry is Pmm2.

a b c (Å): 4.114 4.501 7.974
angles (deg): 90.00 90.00 90.00
Atoms (fractional coordinates):
Ac 0.000 0.500 0.994
Ac 0.000 0.000 0.513
Ge 0.500 0.500 0.325
Pd 0.500 0.000 0.841
Pd 0.500 0.000 0.185
Pd 0.500 0.500 0.642

=====

The following is a PBE-GGA calculation of crystalline MgScIr2 at its relaxed geometry, from Alexandria.

Results
As for the total energy: -27.6 eV for the cell shown. The symmetry is I-4m2.

a b c (Å): 5.168 5.168 5.168
angles (deg): 136.24 136.24 63.62
Atoms (fractional coordinates):
Ir 0.000 0.000 0.000
Ir 0.250 0.750 0.500
Mg 0.500 0.500 0.000
Sc 0.750 0.250 0.500

=====

The following is a PBE-GGA calculation of crystalline CePrTl2S4 at its relaxed geometry, from Alexandria.

Results
Its raw formation energy is -1421 meV per atom. The symmetry is P2/m.

a b c (Å): 4.212 7.288 7.864
angles (deg): 107.95 90.00 90.00
Each line ends with the local moment (μB).
Atoms (fractional coordinates):
Ce 0.500 0.500 0.000  0.92
Pr 0.000 0.000 0.000  0.02
Tl 0.500 0.000 0.500  0.00
Tl 0.000 0.500 0.500  0.00
S 0.500 0.237 0.204  -0.01
S 0.500 0.763 0.796  -0.01
S 0.000 0.268 0.797  -0.01
S 0.000 0.732 0.203  -0.01

=====

The following is a PBE-GGA calculation of crystalline HfZrCr2B at its relaxed geometry, from Alexandria.

Results
As for the total energy: -32.1 eV for the cell shown. The symmetry is P4/mmm.

a b c (Å): 4.373 5.318 4.373
angles (deg): 90.00 90.00 90.00
Atoms (fractional coordinates):
Cr 0.000 0.000 0.500
Cr 0.500 0.000 0.000
B 0.500 0.500 0.500
Hf 0.000 0.500 0.000
Zr 0.000 0.000 0.000

=====

The following is a PBE-GGA calculation of crystalline Ho3HfSb4 at its relaxed geometry, from Alexandria.

Results
Its raw formation energy is -929 meV per atom. The symmetry is Cmmm.

a b c (Å): 4.290 7.433 7.433
angles (deg): 109.29 90.00 90.00
Atoms (fractional coordinates):
Sb 0.000 0.239 0.239
Sb 0.500 0.756 0.244
Sb 0.000 0.761 0.761
Sb 0.500 0.244 0.756
Hf 0.500 0.000 0.000
Ho 0.000 0.000 0.500
Ho 0.500 0.500 0.500
Ho 0.000 0.500 0.000

=====

The following is a PBE-GGA calculation of crystalline Pm2SnO5 at its relaxed geometry, from Alexandria.

Results
Its raw formation energy is -2766 meV per atom. The symmetry is Pnma.

a b c (Å): 3.838 7.669 16.210
angles (deg): 90.00 90.00 90.00
Atoms (fractional coordinates):
Pm 0.750 0.395 0.414
Pm 0.750 0.368 0.759
Pm 0.250 0.132 0.259
Pm 0.250 0.105 0.914
Pm 0.750 0.895 0.086
Pm 0.750 0.868 0.741
Pm 0.250 0.632 0.241
Pm 0.250 0.605 0.586
Sn 0.750 0.376 0.072
Sn 0.250 0.124 0.572
Sn 0.750 0.876 0.428
Sn 0.250 0.624 0.928
O 0.250 0.394 0.324
O 0.250 0.410 0.032
O 0.250 0.413 0.847
O 0.250 0.353 0.500
O 0.750 0.200 0.170
O 0.250 0.300 0.670
O 0.750 0.147 0.000
O 0.750 0.087 0.347
O 0.750 0.090 0.532
O 0.750 0.106 0.824
O 0.250 0.894 0.176
O 0.250 0.910 0.468
O 0.250 0.913 0.653
O 0.250 0.853 0.000
O 0.750 0.700 0.330
O 0.250 0.800 0.830
O 0.750 0.647 0.500
O 0.750 0.587 0.153
O 0.750 0.590 0.968
O 0.750 0.606 0.676

=====

The following is a PBE-GGA calculation of crystalline LaTiAs at its relaxed geometry, from Alexandria.

Results
As for the total energy: -40.6 eV for the cell shown. The symmetry is P4/nmm.

a b c (Å): 4.076 4.076 8.200
angles (deg): 90.00 90.00 90.00
Atoms (fractional coordinates):
La 0.000 0.500 0.850
La 0.500 0.000 0.150
As 0.000 0.500 0.283
As 0.500 0.000 0.717
Ti 0.500 0.500 0.500
Ti 0.000 0.000 0.500

=====

The following is a PBE-GGA calculation of crystalline Y2TmLu at its relaxed geometry, from Alexandria.

Results
As for the total energy: -21.4 eV for the cell shown. The symmetry is Fm-3m.

a b c (Å): 5.628 5.628 5.628
angles (deg): 60.00 60.00 60.00
Atoms (fractional coordinates):
Y 0.250 0.250 0.250
Y 0.750 0.750 0.750
Lu 0.000 0.000 0.000
Tm 0.500 0.500 0.500

=====

| no. | D(E_F) (states/eV/f.u.) |
| --- | --- |
| 1 | 7.30 |
| 2 | 5.11 |
| 3 | 4.27 |
| 4 | 0.93 |
| 5 | 2.15 |
| 6 | 3.86 |
| 7 | 9.34 |
| 8 | 8.28 |
| 9 | 31.41 |
| 10 | 1.60 |
| 11 | 6.51 |
| 12 | 5.02 |
| 13 | 3.36 |
| 14 | 3.82 |
| 15 | 6.50 |
| 16 | 5.94 |
| 17 | 1.30 |
| 18 | 0.00 |
| 19 | 2.71 |
| 20 | 9.74 |